Entry 1:
Rb3Cd2In4: optimized geometry, PBE-GGA. Values from VASP.

Geometry as Quantum ESPRESSO input:
```
&SYSTEM
  ibrav = 0, nat = 9, ntyp = 3
/
ATOMIC_SPECIES
In 114.82 In.upf
Rb 85.47 Rb.upf
Cd 112.41 Cd.upf
ATOMIC_POSITIONS crystal
In 0.0938 0.4375 0.3745
In 0.7257 0.6230 0.9230
In 0.9062 0.5625 0.6255
In 0.2743 0.3770 0.0770
Rb 0.0000 0.0000 0.0000
Rb 0.6211 0.1252 0.6333
Rb 0.3789 0.8748 0.3667
Cd 0.6794 0.4060 0.2358
Cd 0.3206 0.5940 0.7642
CELL_PARAMETERS angstrom
5.0566 0.0012 0.0001
2.5287 6.9467 0.0576
2.5323 2.7620 10.0015
```

Summary:
DFT formation energy ... -0.0704 eV per atom
Calculated volume ... 350 Å³/cell
Total magnetic moment ... 0.00 μB/f.u.
Theoretical density ... 4.46 g/cm3

Entry 2:
Zn2HIrRu: optimized geometry, PBE-GGA. Values from VASP.

Geometry as Quantum ESPRESSO input:
```
&SYSTEM
  ibrav = 0, nat = 5, ntyp = 4
/
ATOMIC_SPECIES
Zn 65.41 Zn.upf
Ru 101.07 Ru.upf
Ir 192.22 Ir.upf
H 1.01 H.upf
ATOMIC_POSITIONS crystal
Zn 0.5000 0.0000 0.0000
Zn 0.0000 0.5000 0.0000
Ru 0.0000 0.0000 0.5000
Ir 0.5000 0.5000 0.5000
H 0.0000 0.0000 0.0000
CELL_PARAMETERS angstrom
-1.3138 3.5283 -1.9132
-4.0080 -1.2599 0.4290
-0.1671 1.5337 2.9432
```

Summary:
DFT total energy ... -4.725 eV per atom
Calculated volume ... 59 Å³/cell
Total magnetic moment ... 0.00 μB/f.u.
Theoretical density ... 11.91 g/cm3

Entry 3:
ReHIrRh2: optimized geometry, PBE-GGA. Values from VASP.

Geometry as Quantum ESPRESSO input:
```
&SYSTEM
  ibrav = 0, nat = 5, ntyp = 4
/
ATOMIC_SPECIES
Rh 102.91 Rh.upf
H 1.01 H.upf
Ir 192.22 Ir.upf
Re 186.21 Re.upf
ATOMIC_POSITIONS crystal
Rh 0.5000 0.0000 0.0000
Rh 0.0000 0.5000 0.0000
H 0.0000 0.0000 0.0000
Ir 0.0000 0.0000 0.5000
Re 0.5000 0.5000 0.5000
CELL_PARAMETERS angstrom
3.9053 0.0000 0.0000
0.0000 3.9053 0.0000
0.0000 0.0000 3.9395
```

Summary:
DFT total energy ... -7.766 eV per atom
Calculated volume ... 60 Å³/cell
Total magnetic moment ... 0.00 μB/f.u.
Theoretical density ... 16.17 g/cm3

Entry 4:
HgOs3: optimized geometry, PBE-GGA. Values from VASP.

Geometry as Quantum ESPRESSO input:
```
&SYSTEM
  ibrav = 0, nat = 4, ntyp = 2
/
ATOMIC_SPECIES
Hg 200.59 Hg.upf
Os 190.23 Os.upf
ATOMIC_POSITIONS crystal
Hg 0.0000 0.0000 0.0000
Os 0.5000 0.0000 0.5000
Os 0.2123 0.5000 0.2858
Os 0.7877 0.5000 0.7142
CELL_PARAMETERS angstrom
2.7694 0.0000 -0.0005
0.0000 3.8139 0.0000
2.7595 0.0000 6.0852
```

Summary:
DFT formation energy ... 0.7015 eV per atom
Calculated volume ... 64 Å³/cell
Total magnetic moment ... 0.00 μB/f.u.
Theoretical density ... 19.92 g/cm3

Entry 5:
In2CoAuSe: optimized geometry, PBE-GGA. Values from VASP.

Geometry as Quantum ESPRESSO input:
```
&SYSTEM
  ibrav = 0, nat = 5, ntyp = 4
/
ATOMIC_SPECIES
In 114.82 In.upf
Se 78.96 Se.upf
Au 196.97 Au.upf
Co 58.93 Co.upf
ATOMIC_POSITIONS crystal
In 0.5000 0.0000 0.0000
In 0.0000 0.0000 0.5000
Se 0.5000 0.5000 0.5000
Au 0.0000 0.5000 0.0000
Co 0.0000 0.0000 0.0000
CELL_PARAMETERS angstrom
-3.1828 2.4362 2.9174
-2.1632 -4.1255 1.0851
3.0690 -0.5974 3.8472
```

Summary:
Calculated volume ... 118 Å³/cell
E_form (uncorrected) ... 0.333 eV per atom
Total magnetic moment ... 1.11 μB/f.u.
Theoretical density ... 7.97 g/cm3

Entry 6:
ZrMn3: optimized geometry, PBE-GGA. Values from VASP.

Geometry as Quantum ESPRESSO input:
```
&SYSTEM
  ibrav = 0, nat = 8, ntyp = 2
/
ATOMIC_SPECIES
Mn 54.94 Mn.upf
Zr 91.22 Zr.upf
ATOMIC_POSITIONS crystal
Mn 0.7500 0.5000 0.0000
Mn 0.0000 0.2500 0.5000
Mn 0.5000 0.0000 0.2500
Mn 0.0000 0.7500 0.5000
Mn 0.2500 0.5000 0.0000
Mn 0.5000 0.0000 0.7500
Zr 0.0000 0.0000 0.0000
Zr 0.5000 0.5000 0.5000
CELL_PARAMETERS angstrom
5.0109 0.0000 0.0000
0.0000 5.0109 0.0000
0.0000 0.0000 5.0109
```

Summary:
DFT formation energy ... 0.3362 eV per atom
Calculated volume ... 126 Å³/cell
Total magnetic moment ... 8.68 μB/f.u.
Theoretical density ... 6.76 g/cm3

Entry 7:
Ca8Hg2P: optimized geometry, PBE-GGA. Values from VASP.

Geometry as Quantum ESPRESSO input:
```
&SYSTEM
  ibrav = 0, nat = 11, ntyp = 3
/
ATOMIC_SPECIES
Ca 40.08 Ca.upf
Hg 200.59 Hg.upf
P 30.97 P.upf
ATOMIC_POSITIONS crystal
Ca 0.7668 0.7033 0.5335
Ca 0.3750 0.0139 0.7501
Ca 0.6250 0.9861 0.2499
Ca 0.6061 0.4729 0.2122
Ca 0.9898 0.2342 0.9797
Ca 0.3939 0.5271 0.7878
Ca 0.2332 0.2967 0.4665
Ca 0.0102 0.7658 0.0203
Hg 0.1627 0.7037 0.3253
Hg 0.8373 0.2963 0.6747
P 0.5000 0.0000 0.0000
CELL_PARAMETERS angstrom
4.1642 0.0000 -1.0470
-0.0414 7.8878 -0.1648
0.6986 0.1117 11.5829
```

Summary:
DFT formation energy ... -0.4209 eV per atom
Calculated volume ... 386 Å³/cell
Total magnetic moment ... 0.00 μB/f.u.
Theoretical density ... 3.24 g/cm3

Entry 8:
CaTlNi: optimized geometry, PBE-GGA. Values from VASP.

Geometry as Quantum ESPRESSO input:
```
&SYSTEM
  ibrav = 0, nat = 3, ntyp = 3
/
ATOMIC_SPECIES
Ca 40.08 Ca.upf
Tl 204.38 Tl.upf
Ni 58.69 Ni.upf
ATOMIC_POSITIONS crystal
Ca 0.5000 0.5000 0.5000
Tl 0.0000 0.0000 0.0000
Ni 0.7500 0.7500 0.7500
CELL_PARAMETERS angstrom
-1.1824 4.4433 -0.8072
-1.5180 2.6849 3.5042
2.6822 3.4604 1.6200
```

Summary:
DFT formation energy ... -0.0666 eV per atom
Calculated volume ... 72 Å³/cell
Total magnetic moment ... 0.00 μB/f.u.
Theoretical density ... 7.00 g/cm3

Entry 9:
Ca2CdIN: optimized geometry, PBE-GGA. Values from VASP.

Geometry as Quantum ESPRESSO input:
```
&SYSTEM
  ibrav = 0, nat = 5, ntyp = 4
/
ATOMIC_SPECIES
N 14.01 N.upf
Ca 40.08 Ca.upf
I 126.90 I.upf
Cd 112.41 Cd.upf
ATOMIC_POSITIONS crystal
N 0.0000 0.0000 0.0000
Ca 0.5000 0.0000 0.0000
Ca 0.0000 0.0000 0.5000
I 0.5000 0.5000 0.5000
Cd 0.0000 0.5000 0.0000
CELL_PARAMETERS angstrom
4.9760 0.0000 0.0000
0.0000 5.0052 0.0000
0.0000 0.0000 4.9760
```

Summary:
Calculated volume ... 124 Å³/cell
E_form (uncorrected) ... -0.483 eV per atom
Total magnetic moment ... 0.00 μB/f.u.
Theoretical density ... 4.47 g/cm3

Entry 10:
V2ZnCdGe: optimized geometry, PBE-GGA. Values from VASP.

Geometry as Quantum ESPRESSO input:
```
&SYSTEM
  ibrav = 0, nat = 5, ntyp = 4
/
ATOMIC_SPECIES
Zn 65.41 Zn.upf
Cd 112.41 Cd.upf
V 50.94 V.upf
Ge 72.64 Ge.upf
ATOMIC_POSITIONS crystal
Zn 0.0000 0.5000 0.0000
Cd 0.0000 0.0000 0.0000
V 0.0000 0.0000 0.5000
V 0.5000 0.0000 0.0000
Ge 0.5000 0.5000 0.5000
CELL_PARAMETERS angstrom
-1.6938 0.5289 -4.7315
3.7610 -2.3439 -1.6084
-2.5328 -4.3525 0.4202
```

Summary:
DFT formation energy ... 1.3984 eV per atom
Calculated volume ... 120 Å³/cell
Total magnetic moment ... 6.10 μB/f.u.
Theoretical density ... 4.86 g/cm3

Entry 11:
PrPd4Pb: optimized geometry, PBE-GGA. Values from VASP.

Geometry as Quantum ESPRESSO input:
```
&SYSTEM
  ibrav = 0, nat = 6, ntyp = 3
/
ATOMIC_SPECIES
Pd 106.42 Pd.upf
Pb 207.20 Pb.upf
Pr 140.91 Pr.upf
ATOMIC_POSITIONS crystal
Pd 0.6252 0.1244 0.6252
Pd 0.6252 0.6252 0.6252
Pd 0.6252 0.6252 0.1244
Pd 0.1244 0.6252 0.6252
Pb 0.0000 0.0000 0.0000
Pr 0.2500 0.2500 0.2500
CELL_PARAMETERS angstrom
-5.2831 1.1296 -1.0226
-3.6474 0.0477 4.1142
-2.1716 4.7590 1.6938
```

Summary:
DFT formation energy ... -0.5509 eV per atom
Calculated volume ... 118 Å³/cell
Total magnetic moment ... 0.00 μB/f.u.
Theoretical density ... 10.93 g/cm3

> Number 1 is which compound?

Rb3Cd2In4